This record from Alexandria via LeMat-Bulk describes a relaxed MnHgW2 crystal. The functional is PBE-GGA.

Calculated values
Spin magnetization in μB/atom: 0.702
SG: Cm, No. 8
Energy of formation in eV per atom: 0.6247

Cell lengths 5.087, 5.087, 4.497 Å; angles 64.07, 64.07, 39.60 degrees
Atoms (fractional coordinates):
1 Hg 0.506 0.506 0.493
2 W 0.735 0.735 0.766
3 W 0.999 0.999 0.001
4 Mn 0.260 0.260 0.241

=====

This record from Alexandria via LeMat-Bulk describes a relaxed MnHgW3 crystal. The functional is PBE-GGA.

Calculated values
Spin magnetization in μB/atom: 0.696
SG: Pm-3m, No. 221
Offset from the most stable computed form in meV per atom: 1784
Energy of formation in eV per atom: 3.1625

Cell lengths 4.914, 4.914, 4.914 Å; angles 90.00, 90.00, 90.00 degrees
Atoms (fractional coordinates):
1 Mn 0.500 0.500 0.500
2 W 0.000 0.500 0.000
3 W 0.500 0.000 0.000
4 W 0.000 0.000 0.500
5 Hg 0.000 0.000 0.000

=====

> Look up the energy of formation of the first one.

0.6247 eV per atom